Record 1
The following is a DFT calculation (PBE-GGA) of crystalline CdSb2Cl at its relaxed geometry.

Results
As for the spin magnetization: 0.0 μB per cell. Its raw formation energy is -175 meV/atom. As for the energy above the most stable polymorph in this dataset: 109 meV per atom. For the raw total energy, the calculation gives -23.41 eV per cell.

Structure (CIF):
```
data_CdSb2Cl
_chemical_formula_sum 'Cd2 Sb4 Cl2'
_space_group_name_H-M_alt 'C 1 m 1'
_space_group_IT_number 8
_space_group_name_Hall 'C -2y'
_cell_length_a 9.5748
_cell_length_b 3.6185
_cell_length_c 6.9492
_cell_angle_alpha 90.00
_cell_angle_beta 110.64
_cell_angle_gamma 90.00
loop_
_atom_site_label
_atom_site_fract_x
_atom_site_fract_y
_atom_site_fract_z
Cd1 0.0000 0.0000 0.0000
Sb1 0.1383 0.5000 0.3801
Sb2 0.4243 0.0000 0.5956
Cl1 0.2698 0.0000 0.9554
```

Record 2
The following is a DFT calculation (PBE-GGA) of crystalline Ac8SnOs3Br4 at its relaxed geometry.

Results
As for the spin magnetization: 0.0 μB per cell. Its raw formation energy is -785 meV/atom. For the raw total energy, the calculation gives -179.63 eV per cell.

Structure (CIF):
```
data_Ac8SnOs3Br4
_chemical_formula_sum 'Ac16 Sn2 Os6 Br8'
_space_group_name_H-M_alt 'C 1 2/m 1'
_space_group_IT_number 12
_space_group_name_Hall '-C 2y'
_cell_length_a 15.5539
_cell_length_b 8.9812
_cell_length_c 9.6245
_cell_angle_alpha 90.00
_cell_angle_beta 122.65
_cell_angle_gamma 90.00
loop_
_atom_site_label
_atom_site_fract_x
_atom_site_fract_y
_atom_site_fract_z
Ac1 0.0249 0.2294 0.3046
Ac2 0.2342 0.0000 0.7021
Ac3 0.2457 0.5000 0.6953
Sn1 0.0000 0.5000 0.5000
Os1 0.0000 0.0000 0.5000
Os2 0.2500 0.2500 0.5000
Br1 0.0000 0.0000 0.0000
Br2 0.0000 0.5000 0.0000
Br3 0.2500 0.2500 0.0000
```

Record 3
The following is a DFT calculation (PBE-GGA) of crystalline CaTaOs2 at its relaxed geometry.

Results
As for the spin magnetization: 0.0 μB per cell. Its energy of formation is 0.015 eV per atom. As for the energy above the most stable polymorph in this dataset: 0 meV per atom. For the raw total energy, the calculation gives -36.25 eV per cell.

Structure (CIF):
```
data_CaTaOs2
_chemical_formula_sum 'Ca1 Ta1 Os2'
_space_group_name_H-M_alt 'P 4/m m m'
_space_group_IT_number 123
_space_group_name_Hall '-P 4 2'
_cell_length_a 3.2071
_cell_length_b 3.2071
_cell_length_c 7.0177
_cell_angle_alpha 90.00
_cell_angle_beta 90.00
_cell_angle_gamma 90.00
loop_
_atom_site_label
_atom_site_fract_x
_atom_site_fract_y
_atom_site_fract_z
Ca1 0.0000 0.0000 0.0000
Ta1 0.0000 0.0000 0.5000
Os1 0.5000 0.5000 0.2884
```

Record 4
The following is a DFT calculation (PBE-GGA) of crystalline CsBa2InAu at its relaxed geometry.

Results
As for the spin magnetization: 0.7 μB per cell. Its energy of formation is -0.212 eV per atom. For the raw total energy, the calculation gives -11.78 eV per cell.

Structure (CIF):
```
data_CsBa2InAu
_chemical_formula_sum 'Cs1 Ba2 In1 Au1'
_space_group_name_H-M_alt 'P 4/m m m'
_space_group_IT_number 123
_space_group_name_Hall '-P 4 2'
_cell_length_a 6.5328
_cell_length_b 6.5328
_cell_length_c 5.5337
_cell_angle_alpha 90.00
_cell_angle_beta 90.00
_cell_angle_gamma 90.00
loop_
_atom_site_label
_atom_site_fract_x
_atom_site_fract_y
_atom_site_fract_z
Cs1 0.0000 0.0000 0.0000
Ba1 0.0000 0.5000 0.5000
In1 0.5000 0.5000 0.0000
Au1 0.5000 0.5000 0.5000
```

Record 5
The following is a DFT calculation (PBE-GGA) of crystalline TmTiIrPt at its relaxed geometry.

Results
As for the spin magnetization: 0.0 μB per cell. Its energy of formation is -0.822 eV per atom. For the raw total energy, the calculation gives -122.22 eV per cell.

Structure (CIF):
```
data_TmTiIrPt
_chemical_formula_sum 'Tm4 Ti4 Ir4 Pt4'
_space_group_name_H-M_alt 'F -4 3 m'
_space_group_IT_number 216
_space_group_name_Hall 'F -4 2 3'
_cell_length_a 6.5717
_cell_length_b 6.5717
_cell_length_c 6.5717
_cell_angle_alpha 90.00
_cell_angle_beta 90.00
_cell_angle_gamma 90.00
loop_
_atom_site_label
_atom_site_fract_x
_atom_site_fract_y
_atom_site_fract_z
Tm1 0.0000 0.0000 0.0000
Ti1 0.0000 0.0000 0.5000
Ir1 0.2500 0.2500 0.2500
Pt1 0.2500 0.2500 0.7500
```

- Among the records above, which one has the highest raw total energy?
  CsBa2InAu